--- w ---
DFT (PBE) results for a relaxed structure of K2SrIr.

```
data_K2SrIr
_cell_length_a 5.533
_cell_length_b 5.611
_cell_length_c 7.882
_cell_angle_alpha 90.00
_cell_angle_beta 90.00
_cell_angle_gamma 90.00
_symmetry_space_group_name_H-M 'I m m 2'
_symmetry_Int_Tables_number 44
loop_
_symmetry_equiv_pos_as_xyz
'x,y,z'
'-x,-y,z'
'-x,y,z'
'x,-y,z'
'x+1/2,y+1/2,z+1/2'
'-x+1/2,-y+1/2,z+1/2'
'-x+1/2,y+1/2,z+1/2'
'x+1/2,-y+1/2,z+1/2'
loop_
_atom_site_label
_atom_site_type_symbol
_atom_site_fract_x
_atom_site_fract_y
_atom_site_fract_z
_atom_site_occupancy
K1 K 0.000 0.000 0.000 1
K2 K 0.000 0.500 0.248 1
Sr1 Sr 0.000 0.000 0.496 1
Ir1 Ir 0.000 0.500 0.751 1
```


--- x ---
DFT (PBE) results for a relaxed structure of K2SrIr.

```
data_K2SrIr
_cell_length_a 4.9223
_cell_length_b 4.9223
_cell_length_c 25.5383
_cell_angle_alpha 90.00
_cell_angle_beta 90.00
_cell_angle_gamma 120.00
_symmetry_space_group_name_H-M 'R 3 m'
_symmetry_Int_Tables_number 160
_symmetry_space_group_name_Hall 'R 3 -2"'
loop_
_atom_site_label
_atom_site_type_symbol
_atom_site_fract_x
_atom_site_fract_y
_atom_site_fract_z
_atom_site_occupancy
K1 K 0.0000 0.0000 0.0000 1
K2 K 0.0000 0.0000 0.1874 1
Sr1 Sr 0.0000 0.0000 0.4275 1
Ir1 Ir 0.0000 0.0000 0.7617 1
```


--- y ---
DFT (PBE) results for a relaxed structure of K2SrIr.

```
data_K2SrIr
_cell_length_a 3.705
_cell_length_b 3.918
_cell_length_c 11.444
_cell_angle_alpha 90.00
_cell_angle_beta 90.00
_cell_angle_gamma 90.00
_symmetry_space_group_name_H-M 'P m m 2'
_symmetry_Int_Tables_number 25
loop_
_symmetry_equiv_pos_as_xyz
'x,y,z'
'-x,-y,z'
'-x,y,z'
'x,-y,z'
loop_
_atom_site_label
_atom_site_type_symbol
_atom_site_fract_x
_atom_site_fract_y
_atom_site_fract_z
_atom_site_occupancy
K1 K 0.000 0.000 0.000 1
K2 K 0.500 0.500 0.364 1
Sr1 Sr 0.500 0.500 0.671 1
Ir1 Ir 0.000 0.000 0.548 1
```


--- z ---
DFT (PBE) results for a relaxed structure of K2SrIr.

```
data_K2SrIr
_cell_length_a 3.7896
_cell_length_b 3.7896
_cell_length_c 38.5153
_cell_angle_alpha 90.00
_cell_angle_beta 90.00
_cell_angle_gamma 120.00
_symmetry_space_group_name_H-M 'R -3 m'
_symmetry_Int_Tables_number 166
_symmetry_space_group_name_Hall '-R 3 2"'
loop_
_atom_site_label
_atom_site_type_symbol
_atom_site_fract_x
_atom_site_fract_y
_atom_site_fract_z
_atom_site_occupancy
K1 K 0.0000 0.0000 0.2268 1
Sr1 Sr 0.0000 0.0000 0.0000 1
Ir1 Ir 0.0000 0.0000 0.5000 1
```


Short version: y is the most stable of them.


--- w ---
DFT (PBE) results for a relaxed structure of KSrIr2.

```
data_KSrIr2
_cell_length_a 2.916
_cell_length_b 4.892
_cell_length_c 7.276
_cell_angle_alpha 90.00
_cell_angle_beta 90.36
_cell_angle_gamma 90.00
_symmetry_space_group_name_H-M 'P 1 2/m 1'
_symmetry_Int_Tables_number 10
loop_
_symmetry_equiv_pos_as_xyz
'x,y,z'
'-x,-y,-z'
'-x,y,-z'
'x,-y,z'
loop_
_atom_site_label
_atom_site_type_symbol
_atom_site_fract_x
_atom_site_fract_y
_atom_site_fract_z
_atom_site_occupancy
K1 K 0.000 0.000 0.000 1
Sr1 Sr 0.000 0.000 0.500 1
Ir1 Ir 0.497 0.500 0.330 1
```


--- x ---
DFT (PBE) results for a relaxed structure of KSrIr2.

```
data_KSrIr2
_cell_length_a 3.550
_cell_length_b 3.550
_cell_length_c 9.443
_cell_angle_alpha 90.00
_cell_angle_beta 90.00
_cell_angle_gamma 90.00
_symmetry_space_group_name_H-M 'P 4 m m'
_symmetry_Int_Tables_number 99
loop_
_symmetry_equiv_pos_as_xyz
'x,y,z'
'-y,x,z'
'-x,-y,z'
'y,-x,z'
'-x,y,z'
'y,x,z'
'x,-y,z'
'-y,-x,z'
loop_
_atom_site_label
_atom_site_type_symbol
_atom_site_fract_x
_atom_site_fract_y
_atom_site_fract_z
_atom_site_occupancy
K1 K 0.000 0.000 0.000 1
Sr1 Sr 0.500 0.500 0.428 1
Ir1 Ir 0.000 0.000 0.660 1
Ir2 Ir 0.500 0.500 0.727 1
```


Short version: x is the most stable of them.


--- w ---
DFT (PBE) results for a relaxed structure of KSrIr2.

```
data_KSrIr2
_cell_length_a 5.499
_cell_length_b 9.502
_cell_length_c 3.356
_cell_angle_alpha 90.00
_cell_angle_beta 90.56
_cell_angle_gamma 90.00
_symmetry_space_group_name_H-M 'C 1 2/m 1'
_symmetry_Int_Tables_number 12
loop_
_symmetry_equiv_pos_as_xyz
'x,y,z'
'-x,-y,-z'
'-x,y,-z'
'x,-y,z'
'x+1/2,y+1/2,z'
'-x+1/2,-y+1/2,-z'
'-x+1/2,y+1/2,-z'
'x+1/2,-y+1/2,z'
loop_
_atom_site_label
_atom_site_type_symbol
_atom_site_fract_x
_atom_site_fract_y
_atom_site_fract_z
_atom_site_occupancy
K1 K 0.000 0.000 0.000 1
Sr1 Sr 0.000 0.500 0.000 1
Ir1 Ir 0.250 0.250 0.500 1
```


--- x ---
DFT (PBE) results for a relaxed structure of KSrIr2.

```
data_KSrIr2
_cell_length_a 4.455
_cell_length_b 4.944
_cell_length_c 10.755
_cell_angle_alpha 90.00
_cell_angle_beta 90.00
_cell_angle_gamma 90.00
_symmetry_space_group_name_H-M 'A m m 2'
_symmetry_Int_Tables_number 38
loop_
_symmetry_equiv_pos_as_xyz
'x,y,z'
'-x,-y,z'
'-x,y,z'
'x,-y,z'
'x,y+1/2,z+1/2'
'-x,-y+1/2,z+1/2'
'-x,y+1/2,z+1/2'
'x,-y+1/2,z+1/2'
loop_
_atom_site_label
_atom_site_type_symbol
_atom_site_fract_x
_atom_site_fract_y
_atom_site_fract_z
_atom_site_occupancy
K1 K 0.000 0.000 0.000 1
Sr1 Sr 0.500 0.000 0.288 1
Ir1 Ir 0.000 0.000 0.696 1
Ir2 Ir 0.500 0.000 0.617 1
```


Short version: x is the most stable of them.